DFT (PBE) results for a relaxed Na3OsO5 crystal. Values from VASP.

Structure (Quantum ESPRESSO input):
```
&SYSTEM
  ibrav = 0, nat = 27, ntyp = 3
/
ATOMIC_SPECIES
Na 22.99 Na.upf
Os 190.23 Os.upf
O 16.00 O.upf
CELL_PARAMETERS angstrom
5.5049 0.0000 0.0000
-2.7524 4.7674 0.0000
0.0000 0.0000 13.2998
ATOMIC_POSITIONS angstrom
Na -0.7475 1.2947 2.2166
Na -0.5208 1.8253 5.5600
Na 1.4950 0.0000 11.0832
Na -0.9113 4.3057 1.1267
Na 1.8411 0.4616 7.7398
Na 1.4321 3.4038 9.9933
Na 2.2317 2.9421 3.3065
Na 2.0049 3.4726 6.6499
Na 4.1845 1.3636 12.1731
Os -1.0707 1.8545 8.8666
Os 2.1414 0.0000 4.4333
Os 1.6818 2.9129 0.0000
O -1.9628 3.3997 8.8666
O -1.4450 3.9976 5.8639
O 0.0129 1.5172 10.2972
O -0.8262 3.1185 3.5548
O 0.7896 1.3677 0.0000
O 1.3074 0.7698 3.0026
O 0.4649 2.4926 7.9881
O 0.3613 3.9237 12.4214
O 1.9263 1.6489 5.3117
O 3.1138 0.8437 9.7450
O 1.4321 4.0200 1.4307
O 3.9256 0.0000 4.4333
O 3.2173 2.2747 0.8785
O 4.1845 0.7474 7.4359
O 2.7654 3.2502 11.8692
```

Calculated values
The energy comes out at -157.51 eV for the cell shown. Its crystal system is trigonal. As for the symmetry: No. 152. The volume is 349.0 Å³/cell.

DFT (PBE) results for a relaxed NaOsO4 crystal. Values from VASP.

Structure (Quantum ESPRESSO input):
```
&SYSTEM
  ibrav = 0, nat = 12, ntyp = 3
/
ATOMIC_SPECIES
Na 22.99 Na.upf
Os 190.23 Os.upf
O 16.00 O.upf
CELL_PARAMETERS angstrom
-2.5995 2.5995 5.8259
2.5995 -2.5995 5.8259
2.5995 2.5995 -5.8259
ATOMIC_POSITIONS angstrom
Na 0.0000 1.2997 1.4565
Na 2.5995 1.2997 4.3694
Os 2.5995 1.2997 -1.4565
Os 0.0000 1.2997 7.2824
O 1.3154 0.5129 -0.5363
O 1.8126 -0.0156 2.3767
O 1.8126 2.5838 -2.3767
O 1.2841 -0.5129 5.2896
O 1.3154 3.1124 0.5363
O 0.7869 0.0156 8.2026
O 0.7869 2.6151 3.4492
O 1.2841 2.0866 6.3622
```

Calculated values
The energy comes out at -79.09 eV for the cell shown. Its crystal system is tetragonal. As for the symmetry: No. 88. The value obtained for the energy relative to the lowest polymorph listed for this composition is 0.00 eV per formula unit. The volume is 157.5 Å³/cell.

DFT (PBE) results for a relaxed NaPOsO crystal. Values from VASP.

Structure (Quantum ESPRESSO input):
```
&SYSTEM
  ibrav = 0, nat = 8, ntyp = 4
/
ATOMIC_SPECIES
Na 22.99 Na.upf
P 30.97 P.upf
Os 190.23 Os.upf
O 16.00 O.upf
CELL_PARAMETERS angstrom
3.5141 0.0000 0.0000
0.0000 6.8290 0.0000
0.0000 0.0000 5.6238
ATOMIC_POSITIONS angstrom
Na 0.0000 0.8061 0.0000
Na 0.0000 6.0229 2.8119
P 0.0000 2.0780 2.6957
P 0.0000 4.7510 5.5076
Os 1.7571 3.0640 3.7320
Os 1.7571 3.7650 0.9201
O 1.7571 2.0885 5.4734
O 1.7571 4.7405 2.6615
```

Calculated values
The energy comes out at -50.20 eV for the cell shown. Its crystal system is orthorhombic. As for the symmetry: No. 26. The value obtained for the energy relative to the lowest polymorph listed for this composition is 0.00 eV per formula unit. The volume is 135.0 Å³/cell.

DFT (PBE) results for a relaxed NaPOsO crystal. Values from VASP.

Structure (Quantum ESPRESSO input):
```
&SYSTEM
  ibrav = 0, nat = 8, ntyp = 4
/
ATOMIC_SPECIES
Na 22.99 Na.upf
P 30.97 P.upf
Os 190.23 Os.upf
O 16.00 O.upf
CELL_PARAMETERS angstrom
3.7467 0.0000 0.0000
0.0000 5.8222 0.0000
0.0000 0.0000 6.3432
ATOMIC_POSITIONS angstrom
Na 0.0000 1.1311 0.0000
Na 0.0000 4.6912 3.1716
P 1.8734 2.3353 4.5848
P 1.8734 3.4869 1.4132
Os 1.8734 1.5989 2.5246
Os 1.8734 4.2233 5.6962
O 0.0000 1.0117 2.3122
O 0.0000 4.8105 5.4838
```

Calculated values
The energy comes out at -49.30 eV for the cell shown. Its crystal system is orthorhombic. As for the symmetry: No. 26. The value obtained for the energy relative to the lowest polymorph listed for this composition is 0.45 eV per formula unit. The volume is 138.4 Å³/cell.

DFT (PBE) results for a relaxed NaPOsO crystal. Values from VASP.

Structure (Quantum ESPRESSO input):
```
&SYSTEM
  ibrav = 0, nat = 8, ntyp = 4
/
ATOMIC_SPECIES
Na 22.99 Na.upf
P 30.97 P.upf
Os 190.23 Os.upf
O 16.00 O.upf
CELL_PARAMETERS angstrom
4.0082 0.0000 0.0000
0.0000 4.0082 0.0000
0.0000 0.0000 8.1725
ATOMIC_POSITIONS angstrom
Na 1.0020 1.0020 1.0632
Na 3.0061 3.0061 7.1093
P 1.0020 1.0020 5.2596
P 3.0061 3.0061 2.9129
Os 1.0020 3.0061 4.0863
Os 3.0061 1.0020 4.0863
O 1.0020 3.0061 0.0000
O 3.0061 1.0020 0.0000
```

Calculated values
The energy comes out at -47.52 eV for the cell shown. Its crystal system is tetragonal. As for the symmetry: No. 129. The value obtained for the energy relative to the lowest polymorph listed for this composition is 1.34 eV per formula unit. The volume is 131.3 Å³/cell.

DFT (PBE) results for a relaxed NaPOsO crystal. Values from VASP.

Structure (Quantum ESPRESSO input):
```
&SYSTEM
  ibrav = 0, nat = 8, ntyp = 4
/
ATOMIC_SPECIES
Na 22.99 Na.upf
P 30.97 P.upf
Os 190.23 Os.upf
O 16.00 O.upf
CELL_PARAMETERS angstrom
3.4143 0.0000 0.0000
0.0000 3.4143 0.0000
0.0000 0.0000 9.1048
ATOMIC_POSITIONS angstrom
Na 0.8536 2.5607 0.0000
Na 2.5607 0.8536 0.0000
P 0.8536 0.8536 2.1678
P 2.5607 2.5607 6.9371
Os 0.8536 0.8536 5.8966
Os 2.5607 2.5607 3.2082
O 0.8536 2.5607 4.5524
O 2.5607 0.8536 4.5524
```

Calculated values
The energy comes out at -43.73 eV for the cell shown. Its crystal system is tetragonal. As for the symmetry: No. 129. The value obtained for the energy relative to the lowest polymorph listed for this composition is 3.24 eV per formula unit. The volume is 106.1 Å³/cell.

DFT (PBE) results for a relaxed NaOsPb2O6 crystal. Values from VASP.

Structure (Quantum ESPRESSO input):
```
&SYSTEM
  ibrav = 0, nat = 10, ntyp = 4
/
ATOMIC_SPECIES
Na 22.99 Na.upf
Os 190.23 Os.upf
Pb 207.20 Pb.upf
O 16.00 O.upf
CELL_PARAMETERS angstrom
0.0000 4.0453 4.0453
4.0453 0.0000 4.0453
4.0453 4.0453 0.0000
ATOMIC_POSITIONS angstrom
Na 0.0000 0.0000 0.0000
Os 4.0453 4.0453 4.0453
Pb 2.0227 2.0227 2.0227
Pb 6.0680 6.0680 6.0680
O 4.0453 4.0453 2.1631
O 4.0453 2.1631 4.0453
O 5.9275 4.0453 4.0453
O 2.1631 4.0453 4.0453
O 4.0453 5.9275 4.0453
O 4.0453 4.0453 5.9275
```

Calculated values
The energy comes out at -60.79 eV for the cell shown. Its crystal system is cubic. As for the symmetry: No. 225. The value obtained for the energy relative to the lowest polymorph listed for this composition is 0.61 eV per formula unit. The volume is 132.4 Å³/cell.

DFT (PBE) results for a relaxed NaOsPb2O6 crystal. Values from VASP.

Structure (Quantum ESPRESSO input):
```
&SYSTEM
  ibrav = 0, nat = 10, ntyp = 4
/
ATOMIC_SPECIES
Na 22.99 Na.upf
Os 190.23 Os.upf
Pb 207.20 Pb.upf
O 16.00 O.upf
CELL_PARAMETERS angstrom
-2.8069 2.8069 4.1865
2.8069 -2.8069 4.1865
2.8069 2.8069 -4.1865
ATOMIC_POSITIONS angstrom
Na 0.0000 0.0000 0.0000
Os 0.0000 0.0000 4.1865
Pb 2.8069 0.0000 2.0932
Pb 0.0000 2.8069 2.0932
O 3.6683 1.1267 0.0000
O 0.0000 0.0000 2.2653
O 1.1267 1.9456 0.0000
O 1.6803 0.8613 4.1865
O 0.0000 0.0000 6.1076
O -0.8613 1.6803 4.1865
```

Calculated values
The energy comes out at -61.40 eV for the cell shown. Its crystal system is tetragonal. As for the symmetry: No. 87. The value obtained for the energy relative to the lowest polymorph listed for this composition is 0.00 eV per formula unit. The volume is 131.9 Å³/cell.

DFT (PBE) results for a relaxed NaPr2OsO6 crystal. Values from VASP.

Structure (Quantum ESPRESSO input):
```
&SYSTEM
  ibrav = 0, nat = 20, ntyp = 4
/
ATOMIC_SPECIES
Na 22.99 Na.upf
Pr 140.91 Pr.upf
Os 190.23 Os.upf
O 16.00 O.upf
CELL_PARAMETERS angstrom
5.5356 0.0000 0.0000
0.0000 5.9563 0.0000
-5.3933 0.0000 7.9573
ATOMIC_POSITIONS angstrom
Na 0.0000 0.0000 0.0000
Na -2.6967 2.9781 3.9787
Pr -2.7791 0.4246 5.9461
Pr -0.0824 2.5536 1.9675
Pr 0.2247 3.4027 5.9899
Pr 2.9213 5.5317 2.0112
Os 0.0711 0.0000 3.9787
Os 2.7678 2.9781 0.0000
O -1.5616 1.0488 3.5783
O -4.2582 1.9293 7.5569
O -0.8618 4.2755 3.4559
O -3.5584 4.6589 7.4346
O 0.6822 0.2778 2.1221
O -2.0145 2.7003 6.1008
O 2.1568 3.2559 1.8566
O -0.5399 5.6785 5.8352
O 3.7007 1.2973 0.5228
O 1.0040 1.6808 4.5014
O 4.4005 4.0270 0.4004
O 1.7038 4.9075 4.3791
```

Calculated values
The energy comes out at -149.92 eV for the cell shown. Its crystal system is monoclinic. As for the symmetry: No. 14. The volume is 262.4 Å³/cell.

DFT (PBE) results for a relaxed Na2ReOsO6 crystal. Values from VASP.

Structure (Quantum ESPRESSO input):
```
&SYSTEM
  ibrav = 0, nat = 20, ntyp = 4
/
ATOMIC_SPECIES
Na 22.99 Na.upf
Re 186.21 Re.upf
Os 190.23 Os.upf
O 16.00 O.upf
CELL_PARAMETERS angstrom
5.3644 0.0000 0.0000
0.0000 5.4116 0.0000
-5.3605 0.0000 7.6196
ATOMIC_POSITIONS angstrom
Na -0.0293 0.1439 1.9046
Na -2.7095 2.5619 5.7144
Na 2.7134 2.8497 1.9052
Na 0.0332 5.2677 5.7150
Re 2.6822 0.0000 0.0000
Re 0.0020 2.7058 3.8098
Os -2.6802 0.0000 3.8098
Os 0.0000 2.7058 0.0000
O -4.1977 1.1425 7.3579
O -1.5175 1.5633 3.5481
O -3.8084 3.8851 7.3513
O -1.1281 4.2323 3.5415
O -2.3097 0.0476 5.7384
O 0.3705 2.6582 1.9286
O -0.3665 2.7534 5.6910
O 2.3137 5.3640 1.8812
O 1.1321 1.1793 4.0781
O 3.8123 1.5265 0.2683
O 1.5215 3.8483 4.0715
O 4.2017 4.2691 0.2617
```

Calculated values
The energy comes out at -141.16 eV for the cell shown. Its crystal system is monoclinic. As for the symmetry: No. 14. The volume is 221.2 Å³/cell.

DFT (PBE) results for a relaxed NaOsSO crystal. Values from VASP.

Structure (Quantum ESPRESSO input):
```
&SYSTEM
  ibrav = 0, nat = 16, ntyp = 4
/
ATOMIC_SPECIES
Na 22.99 Na.upf
Os 190.23 Os.upf
S 32.06 S.upf
O 16.00 O.upf
CELL_PARAMETERS angstrom
6.1064 0.0000 0.0000
0.0000 8.0881 0.0000
0.0000 0.0000 5.6900
ATOMIC_POSITIONS angstrom
Na 0.5157 1.0251 0.0000
Na 2.5375 1.0251 2.8450
Na 3.5689 7.0629 0.0000
Na 5.5907 7.0629 2.8450
Os 0.4535 5.3461 0.1711
Os 2.5997 5.3461 3.0161
Os 3.5068 2.7419 0.1711
Os 5.6529 2.7419 3.0161
S 0.6237 4.5427 3.7881
S 2.4295 4.5427 0.9431
S 3.6769 3.5453 3.7881
S 5.4827 3.5453 0.9431
O 0.2577 1.0527 3.2938
O 2.7955 1.0527 0.4488
O 3.3110 7.0354 3.2938
O 5.8487 7.0354 0.4488
```

Calculated values
The energy comes out at -96.71 eV for the cell shown. Its crystal system is orthorhombic. As for the symmetry: No. 29. The value obtained for the energy relative to the lowest polymorph listed for this composition is 0.00 eV per formula unit. The volume is 281.0 Å³/cell.